The following is a meta-GGA SCAN calculation of a PBEsol-optimized structure of Ag2TeO4, from the Alexandria database.

The space group is C2/c (No. 15) and the conventional cell measures 8.926, 9.285 and 13.628 Å, with angles of 90.00, 91.05 and 90.00 degrees. The distinct sites, in fractional coordinates, are Ag at (0.000, 0.035, 0.250), Ag at (0.000, 0.280, 0.750), Ag at (0.137, 0.349, 0.572), Ag at (0.179, 0.446, 0.324), Te at (0.000, 0.000, 0.000), Te at (0.205, 0.294, 0.105), O at (0.039, 0.156, 0.099), O at (0.083, 0.445, 0.152), O at (0.118, 0.076, 0.889), O at (0.163, 0.347, 0.965), O at (0.167, 0.114, 0.546) and O at (0.236, 0.286, 0.771).

For the magnetization, the calculation gives 0.0 μB per formula unit. The calculation puts the volume at 13.44 A^3/atom. The value obtained for the mass density is 7.19 g/cm3. As for the raw total energy: -18.528 eV per atom. The uncorrected formation energy comes out at -4.783 eV/f.u.

***

The following is a meta-GGA SCAN calculation of a PBEsol-optimized structure of La2HfB2, from the Alexandria database.

The space group is I4/mmm (No. 139) and the conventional cell measures 4.546, 4.546 and 10.281 Å, with angles of 90.00, 90.00 and 90.00 degrees. The distinct sites, in fractional coordinates, are La at (0.000, 0.000, 0.140), Hf at (0.000, 0.000, 0.500) and B at (0.000, 0.500, 0.250).

For the magnetization, the calculation gives 0.7 μB per formula unit. The formation energy is 0.895 eV per atom. The calculation puts the volume at 21.25 A^3/atom. The value obtained for the mass density is 7.47 g/cm3. As for the raw total energy: -31.854 eV per atom.